w:
DFT (PBE) results for crystalline BaLaW2 at its relaxed geometry.

Its total magnetic moment is 0.0 μB per formula unit.

abc: 7.2286 7.2286 7.2286
angles: 90.00 90.00 90.00
Last column: nearest neighbours and their distance in Å.
Space group F-43m (No. 216)
Inequivalent atoms, fractional coordinates:
Ba: 0.0000 0.0000 0.0000 [4 per cell]  4 La 3.13, 4 W 3.13
La: 0.2500 0.2500 0.2500 [4 per cell]  4 Ba 3.13, 4 W 3.13
W: 0.0000 0.0000 0.5000 [4 per cell]  4 La 3.13, 4 W 3.13
W: 0.2500 0.2500 0.7500 [4 per cell]  4 Ba 3.13, 4 W 3.13

***

x:
DFT (PBE) results for crystalline BaLaW2 at its relaxed geometry.

Its total magnetic moment is 0.0 μB per formula unit.

abc: 2.9408 2.9408 11.1251
angles: 90.00 90.00 90.00
Last column: nearest neighbours and their distance in Å.
Space group P4/mmm (No. 123)
Inequivalent atoms, fractional coordinates:
Ba: 0.0000 0.0000 0.0000 [1 per cell]  4 Ba 2.94
La: 0.0000 0.0000 0.5000 [1 per cell]  4 La 2.94
W: 0.5000 0.5000 0.2641 [2 per cell]  4 W 2.94

***

Which of them is the most stable? Correct choice: x.

***

w:
DFT (PBE) results for crystalline BaLaW2 at its relaxed geometry.

Its total magnetic moment is 0.0 μB per formula unit.

abc: 3.4873 3.4873 31.6492
angles: 90.00 90.00 120.00
Last column: nearest neighbours and their distance in Å.
Space group R3m (No. 160, hexagonal axes)
Inequivalent atoms, fractional coordinates:
Ba: 0.0000 0.0000 0.0000 [3 per cell]  3 W 3.47, 6 Ba 3.49
La: 0.0000 0.0000 0.2180 [3 per cell]  3 W 3.22, 6 La 3.49
W: 0.0000 0.0000 0.4718 [3 per cell]  3 W 2.54
W: 0.0000 0.0000 0.7560 [3 per cell]  3 W 2.54

***

x:
DFT (PBE) results for crystalline BaLaW2 at its relaxed geometry.

Its total magnetic moment is 0.0 μB per formula unit.

abc: 8.5454 8.5454 5.7262
angles: 90.00 90.00 90.00
Last column: nearest neighbours and their distance in Å.
Space group I-42d (No. 122)
Inequivalent atoms, fractional coordinates:
Ba: 0.0000 0.0000 0.0000 [4 per cell]  2 La 2.86, 4 W 3.19
La: 0.0000 0.0000 0.5000 [4 per cell]  2 Ba 2.86, 4 W 3.02
W: 0.2359 0.2500 0.6250 [8 per cell]  2 W 2.87, 2 La 3.02, 2 Ba 3.19

***

Which of them is the most stable? Correct choice: w.

***

w:
DFT (PBE) results for crystalline BaLaW2 at its relaxed geometry.

Its total magnetic moment is 0.0 μB per formula unit.

abc: 3.3792 3.3792 9.7310
angles: 90.00 90.00 90.00
Last column: nearest neighbours and their distance in Å.
Space group P4mm (No. 99)
Inequivalent atoms, fractional coordinates:
Ba: 0.0000 0.0000 0.0000 [1 per cell]  4 Ba 3.38, 5 W 3.53-3.77
La: 0.5000 0.5000 0.3837 [1 per cell]  5 W 3.27-3.39, 4 La 3.38
W: 0.0000 0.0000 0.6127 [1 per cell]  4 W 2.66
W: 0.5000 0.5000 0.7326 [1 per cell]  4 W 2.66

***

x:
DFT (PBE) results for crystalline BaLaW2 at its relaxed geometry.

Its total magnetic moment is 0.0 μB per formula unit.

abc: 3.3657 5.3289 6.9938
angles: 90.00 95.10 90.00
Last column: nearest neighbours and their distance in Å.
Space group P2/m (No. 10)
Inequivalent atoms, fractional coordinates:
Ba: 0.0000 0.0000 0.0000 [1 per cell]  2 Ba 3.37, 2 La 3.74
La: 0.5000 0.0000 0.5000 [1 per cell]  4 W 2.95
W: 0.2624 0.5000 0.6325 [2 per cell]  2 W 2.44-2.55

***

Which of them is the most stable? Correct choice: w.

***

w:
DFT (PBE) results for crystalline BaLaW2 at its relaxed geometry.

Its total magnetic moment is 0.0 μB per formula unit.

abc: 10.9312 3.8633 7.0300
angles: 90.00 117.99 90.00
Last column: nearest neighbours and their distance in Å.
Space group C2/m (No. 12)
Inequivalent atoms, fractional coordinates:
Ba: 0.0000 0.0000 0.0000 [2 per cell]  4 W 3.43
La: 0.0000 0.5000 0.5000 [2 per cell]  6 W 3.12-3.19
W: 0.2481 0.0000 0.6103 [4 per cell]  2 W 2.49

***

x:
DFT (PBE) results for crystalline BaLaW2 at its relaxed geometry.

Its total magnetic moment is 0.0 μB per formula unit.

abc: 3.3729 4.9611 11.1527
angles: 90.00 90.00 90.00
Last column: nearest neighbours and their distance in Å.
Space group Immm (No. 71)
Inequivalent atoms, fractional coordinates:
Ba: 0.0000 0.0000 0.0000 [2 per cell]  4 La 3.00, 4 W 3.31
La: 0.0000 0.0000 0.5000 [2 per cell]  4 Ba 3.00, 4 W 3.21
W: 0.0000 0.5000 0.2451 [4 per cell]  4 W 3.00, 2 La 3.21, 2 Ba 3.31

***

y:
DFT (PBE) results for crystalline BaLaW2 at its relaxed geometry.

Its total magnetic moment is 3.7 μB per formula unit.

abc: 7.4780 7.4780 7.4780
angles: 90.00 90.00 90.00
Last column: nearest neighbours and their distance in Å.
Space group Fm-3m (No. 225)
Inequivalent atoms, fractional coordinates:
Ba: 0.0000 0.0000 0.0000 [4 per cell]  8 W 3.24
La: 0.0000 0.0000 0.5000 [4 per cell]  8 W 3.24
W: 0.2500 0.2500 0.2500 [8 per cell]  4 Ba 3.24, 4 La 3.24

***

z:
DFT (PBE) results for crystalline BaLaW2 at its relaxed geometry.

Its total magnetic moment is 0.0 μB per formula unit.

abc: 3.0570 3.0570 35.2669
angles: 90.00 90.00 120.00
Last column: nearest neighbours and their distance in Å.
Space group R-3m (No. 166, hexagonal axes)
Inequivalent atoms, fractional coordinates:
Ba: 0.0000 0.0000 0.0000 [3 per cell]  6 Ba 3.06
La: 0.0000 0.0000 0.5000 [3 per cell]  6 La 3.06, 6 W 3.32
W: 0.0000 0.0000 0.2464 [6 per cell]  6 W 3.06, 3 La 3.32

***

Which of them is the most stable? Correct choice: w.

***

w:
DFT (PBE) results for crystalline BaLaW2 at its relaxed geometry.

Its total magnetic moment is 0.0 μB per formula unit.

abc: 3.4867 5.2373 11.1952
angles: 90.00 90.00 90.00
Last column: nearest neighbours and their distance in Å.
Space group Cmm2 (No. 35)
Inequivalent atoms, fractional coordinates:
Ba: 0.0000 0.0000 0.0000 [2 per cell]  6 Ba 3.15-3.49, 2 W 3.36
La: 0.0000 0.5000 0.3485 [2 per cell]  2 W 3.11, 4 La 3.15
W: 0.0000 0.0000 0.5788 [2 per cell]  2 W 2.53
W: 0.0000 0.5000 0.7431 [2 per cell]  2 W 2.53

***

x:
DFT (PBE) results for crystalline BaLaW2 at its relaxed geometry.

Its total magnetic moment is 0.0 μB per formula unit.

abc: 4.1130 4.1130 7.0869
angles: 90.00 90.00 90.00
Last column: nearest neighbours and their distance in Å.
Space group P4/mmm (No. 123)
Inequivalent atoms, fractional coordinates:
Ba: 0.0000 0.0000 0.0000 [1 per cell]  2 La 3.54, 8 W 3.76
La: 0.0000 0.0000 0.5000 [1 per cell]  8 W 3.13
W: 0.5000 0.5000 0.3356 [2 per cell]  1 W 2.33

***

Which of them is the most stable? Correct choice: w.

***

w:
DFT (PBE) results for crystalline BaLaW2 at its relaxed geometry.

Its total magnetic moment is 0.0 μB per formula unit.

abc: 5.8780 11.0946 2.9347
angles: 90.00 90.12 90.00
Last column: nearest neighbours and their distance in Å.
Space group C2/m (No. 12)
Inequivalent atoms, fractional coordinates:
Ba: 0.0000 0.0000 0.0000 [2 per cell]  2 Ba 2.93, 2 La 2.94
La: 0.0000 0.5000 0.0000 [2 per cell]  2 La 2.93, 2 Ba 2.94
W: 0.2500 0.2500 0.5000 [4 per cell]  4 W 2.93-2.94

***

x:
DFT (PBE) results for crystalline BaLaW2 at its relaxed geometry.

Its total magnetic moment is 0.0 μB per formula unit.

abc: 3.6545 5.2510 12.1822
angles: 90.00 90.00 90.00
Last column: nearest neighbours and their distance in Å.
Space group Imm2 (No. 44)
Inequivalent atoms, fractional coordinates:
Ba: 0.0000 0.0000 0.0000 [2 per cell]  6 W 3.42-3.72, 2 Ba 3.65, 4 La 3.80-3.81
La: 0.0000 0.5000 0.7737 [2 per cell]  6 W 3.23-3.39
W: 0.0000 0.0000 0.5982 [2 per cell]  2 W 2.47
W: 0.0000 0.5000 0.2341 [2 per cell]  2 W 2.47

***

y:
DFT (PBE) results for crystalline BaLaW2 at its relaxed geometry.

Its total magnetic moment is 0.0 μB per formula unit.

abc: 3.0320 5.2712 6.8718
angles: 90.00 90.00 90.00
Last column: nearest neighbours and their distance in Å.
Space group Pmmm (No. 47)
Inequivalent atoms, fractional coordinates:
Ba: 0.0000 0.0000 0.0000 [1 per cell]  2 Ba 3.03
La: 0.0000 0.0000 0.5000 [1 per cell]  2 La 3.03, 8 W 3.27
W: 0.5000 0.5000 0.3237 [2 per cell]  1 W 2.42

***

z:
DFT (PBE) results for crystalline BaLaW2 at its relaxed geometry.

Its total magnetic moment is 0.0 μB per formula unit.

abc: 4.1470 4.1470 5.5452
angles: 90.00 90.00 90.00
Last column: nearest neighbours and their distance in Å.
Space group P4/mmm (No. 123)
Inequivalent atoms, fractional coordinates:
Ba: 0.0000 0.0000 0.0000 [1 per cell]  4 La 2.93
La: 0.5000 0.5000 0.0000 [1 per cell]  4 Ba 2.93
W: 0.0000 0.5000 0.5000 [2 per cell]  4 W 2.93

***

Which of them is the most stable? Correct choice: x.

***

w:
DFT (PBE) results for crystalline BaLaW2 at its relaxed geometry.

Its total magnetic moment is 0.0 μB per formula unit.

abc: 8.2557 3.5002 8.7119
angles: 90.00 93.18 90.00
Last column: nearest neighbours and their distance in Å.
Space group Cm (No. 8)
Inequivalent atoms, fractional coordinates:
Ba: 0.0000 0.0000 0.0000 [2 per cell]  3 W 3.17-3.47, 2 Ba 3.50
La: 0.2974 0.5000 0.4249 [2 per cell]  3 W 2.87-3.17
W: 0.0412 0.5000 0.6340 [2 per cell]  3 W 2.58-2.61, 1 La 2.87
W: 0.2502 0.0000 0.7367 [2 per cell]  3 W 2.58-2.61

***

x:
DFT (PBE) results for crystalline BaLaW2 at its relaxed geometry.

Its total magnetic moment is 3.6 μB per formula unit.

abc: 5.2622 5.2622 3.7482
angles: 90.00 90.00 90.00
Last column: nearest neighbours and their distance in Å.
Space group P4/mmm (No. 123)
Inequivalent atoms, fractional coordinates:
Ba: 0.0000 0.0000 0.0000 [1 per cell]  8 W 3.23
La: 0.5000 0.5000 0.0000 [1 per cell]  8 W 3.23
W: 0.0000 0.5000 0.5000 [2 per cell]  4 Ba 3.23, 4 La 3.23

***

Which of them is the most stable? Correct choice: w.

***

w:
DFT (PBE) results for crystalline BaLaW at its relaxed geometry.

Its total magnetic moment is 1.4 μB per formula unit.

abc: 7.4049 7.4049 7.4049
angles: 90.00 90.00 90.00
Last column: nearest neighbours and their distance in Å.
Space group F-43m (No. 216)
Inequivalent atoms, fractional coordinates:
Ba: 0.0000 0.0000 0.0000 [4 per cell]  4 W 3.21
La: 0.0000 0.0000 0.5000 [4 per cell]  4 W 3.21
W: 0.2500 0.2500 0.2500 [4 per cell]  4 Ba 3.21, 4 La 3.21

***

x:
DFT (PBE) results for crystalline BaLaW at its relaxed geometry.

Its total magnetic moment is 0.0 μB per formula unit.

abc: 3.6268 3.6268 8.4345
angles: 90.00 90.00 120.00
Last column: nearest neighbours and their distance in Å.
Space group P3m1 (No. 156)
Inequivalent atoms, fractional coordinates:
Ba: 0.0000 0.0000 0.0000 [1 per cell]  3 W 3.27, 6 Ba 3.63
La: 0.6667 0.3333 0.4570 [1 per cell]  3 W 2.94
W: 0.3333 0.6667 0.7019 [1 per cell]  3 La 2.94, 3 Ba 3.27

***

Which of them is the most stable? Correct choice: x.

***

w:
DFT (PBE) results for crystalline BaLaW at its relaxed geometry.

Its total magnetic moment is 0.0 μB per formula unit.

abc: 5.3094 5.3094 3.4801
angles: 90.00 90.00 120.00
Last column: nearest neighbours and their distance in Å.
Space group P3m1 (No. 156)
Inequivalent atoms, fractional coordinates:
Ba: 0.0000 0.0000 0.0000 [1 per cell]  6 W 3.36-3.72, 6 La 3.47-3.59, 2 Ba 3.48
La: 0.6667 0.3333 0.4642 [1 per cell]  3 W 3.11, 3 Ba 3.47
W: 0.3333 0.6667 0.6079 [1 per cell]  3 La 3.11, 3 Ba 3.36

***

x:
DFT (PBE) results for crystalline BaLaW at its relaxed geometry.

Its total magnetic moment is 0.0 μB per formula unit.

abc: 3.3347 3.8229 15.2014
angles: 90.00 90.00 90.00
Last column: nearest neighbours and their distance in Å.
Space group Imm2 (No. 44)
Inequivalent atoms, fractional coordinates:
Ba: 0.0000 0.0000 0.0000 [2 per cell]  2 Ba 3.33, 4 W 3.38
La: 0.0000 0.0000 0.2617 [2 per cell]  4 W 3.08, 2 La 3.33
W: 0.0000 0.0000 0.6467 [2 per cell]  4 La 3.08, 2 W 3.33, 4 Ba 3.38

***

Which of them is the most stable? Correct choice: x.

***

w:
DFT (PBE) results for crystalline BaLa2W2 at its relaxed geometry.

Its total magnetic moment is 0.0 μB per formula unit.

abc: 9.1923 9.1923 3.3320
angles: 90.00 90.00 90.00
Last column: nearest neighbours and their distance in Å.
Space group P4/mbm (No. 127)
Inequivalent atoms, fractional coordinates:
Ba: 0.0000 0.0000 0.0000 [2 per cell]  2 Ba 3.33, 4 La 3.33
La: 0.1928 0.3072 0.0000 [4 per cell]  6 W 3.24-3.26, 2 La 3.33, 2 Ba 3.33
W: 0.0919 0.5919 0.5000 [4 per cell]  1 W 2.39

***

x:
DFT (PBE) results for crystalline BaLa2W2 at its relaxed geometry.

Its total magnetic moment is 0.0 μB per formula unit.

abc: 5.0223 5.0223 12.1153
angles: 90.00 90.00 90.00
Last column: nearest neighbours and their distance in Å.
Space group I4/mmm (No. 139)
Inequivalent atoms, fractional coordinates:
Ba: 0.0000 0.0000 0.0000 [2 per cell]  8 W 3.74, 8 La 3.93
La: 0.0000 0.5000 0.2500 [4 per cell]  4 W 3.12
W: 0.0000 0.0000 0.4033 [4 per cell]  1 W 2.34

***

Which of them is the most stable? Correct choice: w.

***

w:
DFT (PBE) results for crystalline BaLa2W2 at its relaxed geometry.

Its total magnetic moment is 0.0 μB per formula unit.

abc: 3.7533 3.7533 23.7845
angles: 90.00 90.00 90.00
Last column: nearest neighbours and their distance in Å.
Space group I4/mmm (No. 139)
Inequivalent atoms, fractional coordinates:
Ba: 0.0000 0.0000 0.0000 [2 per cell]  4 Ba 3.75
La: 0.0000 0.0000 0.3578 [4 per cell]  4 W 3.18
W: 0.0000 0.5000 0.2500 [4 per cell]  4 W 2.65

***

x:
DFT (PBE) results for crystalline BaLa2W2 at its relaxed geometry.

Its total magnetic moment is 0.0 μB per formula unit.

abc: 8.4158 8.4158 4.3874
angles: 90.00 90.00 90.00
Last column: nearest neighbours and their distance in Å.
Space group P4/mbm (No. 127)
Inequivalent atoms, fractional coordinates:
Ba: 0.0000 0.0000 0.0000 [2 per cell]  4 W 3.48, 8 La 3.83
La: 0.1652 0.3348 0.5000 [4 per cell]  4 W 3.17
W: 0.0983 0.5983 0.0000 [4 per cell]  1 W 2.34

***

Which of them is the most stable? Correct choice: w.

***

w:
DFT (PBE) results for crystalline BaLa3Zn at its relaxed geometry.

Its total magnetic moment is 0.0 μB per formula unit.

abc: 5.9288 5.9288 5.9288
angles: 90.00 90.00 90.00
Last column: nearest neighbours and their distance in Å.
Space group Pm-3m (No. 221)
Inequivalent atoms, fractional coordinates:
Ba: 0.0000 0.0000 0.0000 [1 per cell]  12 La 4.19
La: 0.0000 0.5000 0.5000 [3 per cell]  2 Zn 2.96
Zn: 0.5000 0.5000 0.5000 [1 per cell]  6 La 2.96

***

x:
DFT (PBE) results for crystalline BaLa3Zn at its relaxed geometry.

Its total magnetic moment is 0.0 μB per formula unit.

abc: 5.9338 5.9338 5.9338
angles: 90.00 90.00 90.00
Last column: nearest neighbours and their distance in Å.
Space group Pm-3m (No. 221)
Inequivalent atoms, fractional coordinates:
Ba: 0.0000 0.0000 0.0000 [1 per cell]  6 La 2.97
La: 0.0000 0.0000 0.5000 [3 per cell]  2 Ba 2.97
Zn: 0.5000 0.5000 0.5000 [1 per cell]  12 La 4.20

***

Which of them is the most stable? Correct choice: w.